Record 1
Entry from the Alexandria database: a relaxed structure of ErPbS2 (PBE-GGA).

The structure belongs to space group R-3m (No. 166, hexagonal axes); the cell edges are 3.8427, 3.8427 and 24.0950 Å and the angles 90.00°, 90.00° and 120.00°. The inequivalent atoms are Er at (0.0000, 0.0000, 0.0000), Pb at (0.0000, 0.0000, 0.5000) and S at (0.0000, 0.0000, 0.2695).

The value obtained for the uncorrected formation energy is -1.29 eV/atom. The crystal system is trigonal. The total moment comes out at 0.00 μB per atom.

---

Record 2
Entry from the Alexandria database: a relaxed structure of ZnCd6Sn (PBE-GGA).

The structure belongs to space group C2/m (No. 12); the cell edges are 10.200, 4.452 and 9.017 Å and the angles 90.00°, 118.34° and 90.00°. The inequivalent atoms are Zn at (0.000, 0.000, 0.000), Cd at (0.005, 0.500, 0.239), Cd at (0.245, 0.000, 0.364), Cd at (0.246, 0.500, 0.116) and Sn at (0.000, 0.000, 0.500).

The crystal system is monoclinic. The total moment comes out at 0.00 μB per atom. The formation energy comes out at 0.0499 eV/atom.

---

Record 3
Entry from the Alexandria database: a relaxed structure of SbMoSe (PBE-GGA).

The structure belongs to space group I4mm (No. 107); the cell edges are 3.162, 3.162 and 13.421 Å and the angles 90.00°, 90.00° and 90.00°. The inequivalent atoms are Sb at (0.000, 0.000, 0.000), Mo at (0.000, 0.000, 0.645) and Se at (0.000, 0.000, 0.248).

The value obtained for the uncorrected formation energy is -0.10 eV/atom. The crystal system is tetragonal. The total moment comes out at 0.08 μB per atom.

---

Record 4
Entry from the Alexandria database: a relaxed structure of Y3Fe5H12 (PBE-GGA).

The structure belongs to space group Ia-3d (No. 230); the cell edges are 11.187, 11.187 and 11.187 Å and the angles 90.00°, 90.00° and 90.00°. The inequivalent atoms are Y at (0.000, 0.250, 0.125), Fe at (0.000, 0.000, 0.000), Fe at (0.000, 0.250, 0.375) and H at (0.032, 0.052, 0.638).

The calculation puts the uncorrected energy at -843.8 eV for the cell shown. The crystal system is cubic. The total moment comes out at 0.25 μB per atom.

---

Record 5
Entry from the Alexandria database: a relaxed structure of SrCd5Pt2 (PBE-GGA).

The structure belongs to space group Immm (No. 71); the cell edges are 4.213, 8.485 and 10.486 Å and the angles 90.00°, 90.00° and 90.00°. The inequivalent atoms are Sr at (0.000, 0.000, 0.000), Cd at (0.000, 0.189, 0.345), Cd at (0.000, 0.500, 0.000) and Pt at (0.000, 0.500, 0.263).

The crystal system is orthorhombic. The total moment comes out at 0.00 μB per atom. The formation energy comes out at -0.3930 eV/atom.

---

Record 6
Entry from the Alexandria database: a relaxed structure of CrTcSb2 (PBE-GGA).

The structure belongs to space group Amm2 (No. 38); the cell edges are 4.191, 3.783 and 9.706 Å and the angles 90.00°, 90.00° and 90.00°. The inequivalent atoms are Cr at (0.000, 0.000, 0.000), Tc at (0.500, 0.000, 0.863), Sb at (0.000, 0.000, 0.284) and Sb at (0.500, 0.000, 0.573).

The value obtained for the uncorrected formation energy is 0.18 eV/atom. The crystal system is orthorhombic. The total moment comes out at 0.39 μB per atom.

---

> The highest total moment belongs to which entry?

CrTcSb2

---

> total moment of number 2 (ZnCd6Sn)?

0.00 μB per atom

---

> Which value of total moment does entry 5 give?

0.00 μB per atom